# 1
Below is Mg2CoMo after structural relaxation, with properties calculated at the PBE level.

Its formation energy from the elements is 399.2 meV/atom.

The space group is R-3m (No. 166, hexagonal axes) and the conventional cell measures 2.8262, 2.8262 and 27.7543 Å, with angles of 90.00, 90.00 and 120.00 degrees. The asymmetric unit holds Mg at (0.0000, 0.0000, 0.2438), Co at (0.0000, 0.0000, 0.5000) and Mo at (0.0000, 0.0000, 0.0000).



# 2
Below is Sr2ZrTiO6 after structural relaxation, with properties calculated at the PBE level.

The uncorrected formation energy comes out at -3145 meV per atom.

The space group is P4mm (No. 99) and the conventional cell measures 4.051, 4.051 and 8.346 Å, with angles of 90.00, 90.00 and 90.00 degrees. The asymmetric unit holds Sr at (0.000, 0.000, 0.000), Sr at (0.000, 0.000, 0.462), Zr at (0.500, 0.500, 0.715), Ti at (0.500, 0.500, 0.217), O at (0.000, 0.500, 0.199), O at (0.000, 0.500, 0.674), O at (0.500, 0.500, 0.434) and O at (0.500, 0.500, 0.959).



Number 1: E -19.5 eV/f.u., total moment 1.77 μB per formula unit. Number 2: E -81.0 eV/f.u., total moment 0.00 μB per formula unit.